Record 1
Below is a relaxed Pr4Dy9In11 crystal, with properties calculated at the GGA-PBE level.

The structure in extended XYZ format:
```
24
Lattice="-2.410 -1.705 -1.876 5.533 5.406 -12.021 6.160 -12.444 3.393" Properties=species:S:1:pos:R:3 pbc="T T T"
Pr 6.758 -7.065 -5.523
Pr 2.525 -1.678 -4.980
Pr 6.656 -4.164 -8.028
Pr 2.627 -4.579 -2.475
Dy 3.202 0.370 -7.711
Dy 6.081 -9.113 -2.793
Dy 3.480 -7.548 -0.874
Dy 5.802 -1.196 -9.629
Dy 9.320 -8.902 -7.146
Dy -0.037 0.158 -3.357
Dy 9.197 -5.400 -10.170
Dy 0.086 -3.344 -0.333
Dy 4.641 -4.372 -5.252
In 9.201 -8.786 -3.838
In 2.492 1.747 -4.790
In 8.968 -2.151 -9.567
In 2.726 -4.888 0.940
In 5.770 -1.354 -6.183
In 5.923 -5.685 -2.444
In 5.652 2.012 -9.090
In 6.041 -9.050 0.462
In 0.000 0.000 0.000
In 9.419 -5.670 -6.949
In 2.274 -1.369 -1.678
```

Calculated values
- VASP energy: -0.1536 hartree per atom
- Symmetry: Cmmm
- E_form: -0.4012 eV/atom
- Magnetization: 0.00 μB per formula unit
- Crystal system: orthorhombic

***

Record 2
Below is a relaxed Pr3Dy2In crystal, with properties calculated at the GGA-PBE level.

The structure in extended XYZ format:
```
12
Lattice="3.755 0.000 0.000 0.000 8.748 0.916 0.000 -1.370 11.705" Properties=species:S:1:pos:R:3 pbc="T T T"
Pr 2.816 0.008 7.140
Pr 0.939 7.370 5.480
Pr 2.816 4.958 3.475
Pr 0.939 2.420 9.146
Pr 0.939 2.904 1.136
Pr 2.816 4.474 11.485
Dy 0.939 2.530 5.352
Dy 2.816 4.848 7.269
Dy 2.816 -0.517 10.515
Dy 0.939 7.895 2.106
In 0.939 6.312 9.452
In 2.816 1.066 3.169
```

Calculated values
- Excess energy over the best structure of this formula in the dataset: 0.0277 eV/atom
- VASP energy: -0.1655 hartree per atom
- Symmetry: P2_1/m
- E_form: -0.1244 eV/atom
- Magnetization: 0.00 μB per formula unit
- Crystal system: monoclinic